Material: NdNi3As2
Method: DFT, PBE-GGA
State: relaxed

The total energy is -5.806 eV per atom. The value obtained for the size of the total moment is 0.0 Bohr magnetons per cell.

The structure belongs to space group P-3m1 (No. 164); the cell edges are 4.0418, 4.0418 and 6.6867 Å and the angles 90.00°, 90.00° and 120.00°. The asymmetric unit holds Nd at (0.0000, 0.0000, 0.0000), Ni at (0.0000, 0.0000, 0.5000), Ni at (0.3333, 0.6667, 0.6569) and As at (0.3333, 0.6667, 0.2901).